# 1
Material: H4Se2F
Method: DFT, PBE-GGA
State: optimized geometry

a b c (Å): 3.118 9.494 7.876
angles (deg): 89.22 78.56 85.94
Fractional positions:
H 0.294 0.445 0.706
H 0.289 0.224 0.713
H 0.573 0.564 0.364
H 0.400 0.271 0.366
H 0.751 0.724 0.787
H 0.515 0.771 0.135
H 0.689 0.065 0.136
H 0.750 0.945 0.794
Se 0.563 0.617 0.098
Se 0.215 0.338 0.847
Se 0.811 0.838 0.653
Se 0.412 0.117 0.402
F 0.628 0.540 0.479
F 0.859 0.041 0.020

SG = P1 (1)
E_tot = -3.55 eV per atom

# 2
Material: Mg2ScAs
Method: DFT, PBE-GGA
State: optimized geometry

a b c (Å): 4.924 4.924 4.924
angles (deg): 60.00 60.00 60.00
Fractional positions:
As 0.500 0.500 0.500
Mg 0.000 0.000 0.000
Mg 0.250 0.250 0.250
Sc 0.750 0.750 0.750

DFT formation energy = -0.156 eV per atom
SG = F-43m (216)

# 3
Material: Zr2ZnTc
Method: DFT, PBE-GGA
State: optimized geometry

a b c (Å): 8.613 8.613 8.613
angles (deg): 21.91 21.91 21.91
Fractional positions:
Tc 0.250 0.250 0.250
Zn 0.750 0.750 0.750
Zr 0.995 0.995 0.995
Zr 0.505 0.505 0.505

DFT formation energy = -0.083 eV per atom
SG = R-3m (166)

# 4
Material: CePr2Dy3Se6
Method: DFT, PBE-GGA
State: optimized geometry

a b c (Å): 4.113 8.430 9.349
angles (deg): 104.34 102.71 90.00
Fractional positions:
Ce 0.500 0.000 0.000
Pr 0.834 0.667 0.667
Pr 0.166 0.333 0.333
Dy 0.500 0.500 0.000
Dy 0.832 0.165 0.664
Dy 0.168 0.835 0.336
Se 0.331 0.927 0.662
Se 0.663 0.593 0.326
Se 0.669 0.073 0.338
Se 0.996 0.256 0.991
Se 0.004 0.744 0.009
Se 0.337 0.407 0.674

SG = C2/m (12)
E_tot = -5.98 eV per atom

# 5
Material: GaRhBr3
Method: DFT, PBE-GGA
State: optimized geometry

a b c (Å): 5.120 5.120 5.120
angles (deg): 90.00 90.00 90.00
Fractional positions:
Rh 0.000 0.000 0.000
Ga 0.500 0.500 0.500
Br 0.000 0.500 0.000
Br 0.000 0.000 0.500
Br 0.500 0.000 0.000

SG = Pm-3m (221)
polymorph energy (0 for the lowest one) = 0.000 eV per atom

# 6
Material: K2SnS2
Method: DFT, PBE-GGA
State: optimized geometry

a b c (Å): 7.808 7.808 4.509
angles (deg): 90.00 90.00 90.00
Fractional positions:
S 0.319 0.819 0.000
S 0.819 0.681 0.000
S 0.681 0.181 0.000
S 0.181 0.319 0.000
K 0.135 0.635 0.500
K 0.635 0.865 0.500
K 0.865 0.365 0.500
K 0.365 0.135 0.500
Sn 0.000 0.000 0.000
Sn 0.500 0.500 0.000

SG = P4/mbm (127)
polymorph energy (0 for the lowest one) = 0.240 eV per atom

# 7
Material: Ho2PaOsC4
Method: DFT, PBE-GGA
State: optimized geometry

a b c (Å): 3.473 6.122 11.966
angles (deg): 90.00 90.00 106.48
Fractional positions:
Ho 0.368 0.736 0.541
Ho 0.632 0.264 0.041
Ho 0.632 0.264 0.459
Ho 0.368 0.736 0.959
Pa 0.097 0.195 0.750
Pa 0.903 0.805 0.250
Os 0.842 0.684 0.750
Os 0.158 0.316 0.250
C 0.272 0.543 0.135
C 0.728 0.457 0.635
C 0.728 0.457 0.865
C 0.272 0.543 0.365
C 0.000 0.000 0.500
C 0.000 0.000 0.000
C 0.437 0.874 0.750
C 0.563 0.126 0.250

DFT formation energy = -0.047 eV per atom
SG = Cmcm (63)

# 8
Material: Y4C4I3Br
Method: DFT, PBE-GGA
State: optimized geometry

a b c (Å): 4.127 4.127 22.429
angles (deg): 86.78 86.78 56.32
Fractional positions:
Y 0.854 0.854 0.064
Y 0.857 0.857 0.558
Y 0.148 0.148 0.434
Y 0.144 0.144 0.940
C 0.576 0.576 0.017
C 0.579 0.579 0.511
C 0.426 0.426 0.481
C 0.422 0.422 0.988
I 0.824 0.824 0.846
I 0.174 0.174 0.159
I 0.177 0.177 0.653
Br 0.819 0.819 0.351

SG = Cm (8)
E_tot = -6.67 eV per atom

# 9
Material: Ac3Pr4Ni2
Method: DFT, PBE-GGA
State: optimized geometry

a b c (Å): 6.221 6.212 10.040
angles (deg): 64.44 64.33 61.86
Fractional positions:
Ac 0.436 0.438 0.757
Ac 0.000 0.000 0.000
Ac 0.564 0.562 0.243
Pr 0.233 0.232 0.211
Pr 0.767 0.768 0.789
Pr 0.194 0.195 0.590
Pr 0.806 0.805 0.410
Ni 0.200 0.799 0.500
Ni 0.800 0.201 0.500

DFT formation energy = -0.070 eV per atom
SG = P-1 (2)

# 10
Material: Rb5Li6B11O22
Method: DFT, PBE-GGA
State: optimized geometry

a b c (Å): 6.935 6.935 14.009
angles (deg): 74.85 74.85 62.68
Fractional positions:
Rb 0.049 0.313 0.214
Rb 0.687 0.951 0.786
Rb 0.481 0.124 0.412
Rb 0.876 0.519 0.588
Rb 0.017 0.983 0.000
Li 0.577 0.589 0.407
Li 0.411 0.423 0.593
Li 0.569 0.888 0.233
Li 0.112 0.431 0.767
Li 0.907 0.504 0.954
Li 0.496 0.093 0.046
B 0.550 0.356 0.164
B 0.644 0.450 0.836
B 0.161 0.827 0.410
B 0.173 0.839 0.590
B 0.318 0.710 0.236
B 0.290 0.682 0.764
B 0.955 0.736 0.318
B 0.264 0.045 0.682
B 0.874 0.126 0.500
B 0.601 0.694 0.075
B 0.306 0.399 0.925
O 0.562 0.162 0.158
O 0.838 0.438 0.842
O 0.429 0.813 0.144
O 0.187 0.571 0.856
O 0.775 0.707 0.319
O 0.293 0.225 0.681
O 0.665 0.465 0.085
O 0.535 0.335 0.915
O 0.434 0.465 0.246
O 0.535 0.566 0.754
O 0.686 0.314 0.500
O 0.015 0.725 0.408
O 0.275 0.985 0.592
O 0.021 0.068 0.411
O 0.932 0.979 0.589
O 0.089 0.777 0.228
O 0.223 0.911 0.772
O 0.336 0.790 0.320
O 0.210 0.664 0.680
O 0.272 0.728 0.500
O 0.708 0.794 0.001
O 0.206 0.292 0.999

SG = C2 (5)
E_tot = -6.86 eV per atom

# 11
Material: KZnRu2Pb
Method: DFT, PBE-GGA
State: optimized geometry

a b c (Å): 5.178 5.399 5.178
angles (deg): 90.00 90.00 90.00
Fractional positions:
Pb 0.000 0.000 0.000
Ru 0.000 0.000 0.500
Ru 0.500 0.000 0.000
Zn 0.000 0.500 0.000
K 0.500 0.500 0.500

DFT formation energy = 1.393 eV per atom
SG = P4/mmm (123)

# 12
Material: BaCu2SbH2
Method: DFT, PBE-GGA
State: optimized geometry

a b c (Å): 4.963 6.404 7.755
angles (deg): 114.86 90.00 90.00
Fractional positions:
Ba 0.750 0.301 0.623
Ba 0.250 0.699 0.377
Cu 0.495 0.150 0.179
Cu 0.005 0.150 0.179
Cu 0.995 0.850 0.821
Cu 0.505 0.850 0.821
Sb 0.250 0.252 0.914
Sb 0.750 0.748 0.086
H 0.250 0.187 0.348
H 0.250 0.660 0.714
H 0.750 0.813 0.652
H 0.750 0.340 0.286

SG = P2_1/m (11)
E_tot = -3.74 eV per atom